Entry 1:
This record from the Alexandria database describes Ba3HfAg2Se6 after structural relaxation. The functional is PBE.

Geometry as POSCAR:
```
Ba3HfAg2Se6
1.0
7.703 0.000 0.000
-3.852 6.671 0.000
0.000 0.000 8.050
Ba Hf Ag Se
3 1 2 6
Cartesian
0.000 0.000 0.000
0.000 4.448 4.860
3.852 2.224 3.191
0.000 0.000 4.025
0.000 4.448 1.214
3.852 2.224 6.836
0.000 2.154 2.446
-1.987 5.595 2.446
1.865 1.077 5.604
1.987 5.595 2.446
5.838 1.077 5.604
3.852 4.518 5.604
```

Properties
Space group ... P-3m1 (164)
Fermi-level density of states ... 0.46 states/eV per cell
Magnetization ... 0.00 μB per atom
Formation energy from raw total energies ... -1.16 eV/atom
Calculated total energy ... -56.25 eV for the cell shown

=====

Entry 2:
This record from the Alexandria database describes TlCdOs2 after structural relaxation. The functional is PBE.

Geometry as POSCAR:
```
TlCdOs2
1.0
2.802 -4.256 0.000
2.802 4.256 0.000
0.000 0.000 2.982
Tl Cd Os
1 1 2
Cartesian
0.000 0.000 0.000
2.802 0.000 0.000
1.401 2.128 1.491
1.401 -2.128 1.491
```

Properties
Space group ... Cmmm (65)
ΔH_f (0 K) ... 25.68 kcal/mol of atoms
Fermi-level density of states ... 4.93 states/eV per cell
Magnetization ... 0.28 μB per atom
Calculated total energy ... -21.29 eV for the cell shown

=====

Entry 3:
This record from the Alexandria database describes PrDy4Er2Tm after structural relaxation. The functional is PBE.

Geometry as POSCAR:
```
PrDy4Er2Tm
1.0
6.776 -6.611 0.000
6.776 6.611 0.000
-3.382 0.000 5.865
Pr Dy Er Tm
2 8 4 2
Cartesian
3.388 3.305 0.000
1.697 -3.305 2.933
1.685 0.029 2.940
5.078 3.314 2.943
3.401 3.314 5.855
3.376 -0.029 0.008
6.794 0.029 5.857
6.770 -3.314 0.010
5.092 -3.314 2.922
8.485 -0.029 2.925
1.697 3.305 2.933
3.388 -3.305 0.000
6.776 0.000 0.000
5.085 0.000 2.933
0.000 0.000 0.000
-1.691 0.000 2.933
```

Properties
Space group ... C2/c (15)
ΔH_f (0 K) ... 10.06 kcal/mol of atoms
Fermi-level density of states ... 35.56 states/eV per cell
Magnetization ... 0.32 μB per atom
Calculated total energy ... -66.59 eV for the cell shown

=====

Entry 4:
This record from the Alexandria database describes LuTiZnIn after structural relaxation. The functional is PBE.

Geometry as POSCAR:
```
LuTiZnIn
1.0
0.000 3.433 3.433
3.433 0.000 3.433
3.433 3.433 0.000
Lu Ti Zn In
1 1 1 1
Cartesian
0.000 0.000 0.000
3.433 3.433 3.433
5.150 5.150 5.150
1.717 1.717 1.717
```

Properties
Space group ... F-43m (216)
ΔH_f (0 K) ... -3.75 kcal/mol of atoms
Fermi-level density of states ... 2.34 states/eV per cell
Magnetization ... 0.00 μB per atom
Calculated total energy ... -17.08 eV for the cell shown

=====

Entry 5:
This record from the Alexandria database describes BaBRh after structural relaxation. The functional is PBE.

Geometry as POSCAR:
```
BaBRh
1.0
3.697 0.000 0.000
-1.849 3.202 0.000
0.000 0.000 5.156
Ba B Rh
1 1 1
Cartesian
0.000 0.000 0.000
0.000 2.134 2.578
1.849 1.067 2.578
```

Properties
Relative energy among the computed polymorphs ... 261.7 meV per atom
Space group ... P-6m2 (187)
ΔH_f (0 K) ... -2.73 kcal/mol of atoms
Fermi-level density of states ... 1.99 states/eV per cell
Magnetization ... 0.00 μB per atom
Calculated total energy ... -16.31 eV for the cell shown

=====

Entry 6:
This record from the Alexandria database describes CePmSb2 after structural relaxation. The functional is PBE.

Geometry as POSCAR:
```
CePmSb2
1.0
2.247 1.298 7.345
-2.247 1.298 7.345
0.000 -2.595 7.345
Ce Pm Sb
1 1 2
Cartesian
0.000 0.000 0.000
0.000 0.000 11.018
0.000 0.000 5.518
0.000 0.000 16.518
```

Properties
Relative energy among the computed polymorphs ... 0.0 meV per atom
Space group ... R-3m (166)
Fermi-level density of states ... 6.56 states/eV per cell
Magnetization ... 0.19 μB per atom
Formation energy from raw total energies ... -1.12 eV/atom
Calculated total energy ... -23.41 eV for the cell shown

=====

Entry 7:
This record from the Alexandria database describes Nd7Sn2Pt2 after structural relaxation. The functional is PBE.

Geometry as POSCAR:
```
Nd7Sn2Pt2
1.0
4.245 -5.725 0.000
4.245 5.725 0.000
0.000 0.000 7.199
Nd Sn Pt
7 2 2
Cartesian
0.000 0.000 0.000
2.122 2.863 1.855
2.122 2.863 5.343
2.122 -2.863 1.855
2.122 -2.863 5.343
4.245 0.000 1.750
4.245 0.000 5.449
1.478 0.000 3.599
7.011 0.000 3.599
4.245 2.480 0.000
4.245 -2.480 0.000
```

Properties
Space group ... Cmmm (65)
ΔH_f (0 K) ... -13.55 kcal/mol of atoms
Fermi-level density of states ... 12.14 states/eV per cell
Magnetization ... 0.00 μB per atom
Calculated total energy ... -59.93 eV for the cell shown

=====

Entry 8:
This record from the Alexandria database describes TaSbIr2 after structural relaxation. The functional is PBE.

Geometry as POSCAR:
```
TaSbIr2
1.0
3.017 0.000 0.000
0.000 3.017 0.000
0.000 0.000 7.709
Ta Sb Ir
1 1 2
Cartesian
0.000 0.000 0.000
0.000 0.000 3.854
1.508 1.508 1.751
1.508 1.508 5.958
```

Properties
Space group ... P4/mmm (123)
Fermi-level density of states ... 2.09 states/eV per cell
Magnetization ... 0.00 μB per atom
Formation energy from raw total energies ... -0.19 eV/atom
Calculated total energy ... -34.44 eV for the cell shown